# 1
Here is a relaxed BaNiW crystal from Alexandria via LeMat-Bulk. Energies are from GGA-PBE.

Cell lengths 8.278, 8.278, 8.278 Å; angles 156.79, 141.27, 45.64 degrees
Fractional coordinates of all 6 atoms:
Ba (0.183, 0.183, 0.000)
Ba (0.817, 0.817, 0.000)
Ni (0.417, 0.917, 0.500)
Ni (0.583, 0.083, 0.500)
W (0.231, 0.500, 0.731)
W (0.769, 0.500, 0.269)

Computed properties:
Energy of formation from the pure elements, eV/atom: 0.62
Polymorph energy (0 for the lowest one), eV/atom: 0.299
Total energy, eV/atom: -6.27
Space group: No. 71

---

# 2
Here is a relaxed TbY2Ir crystal from Alexandria via LeMat-Bulk. Energies are from GGA-PBE.

Cell lengths 10.752, 10.752, 10.752 Å; angles 19.99, 19.99, 19.99 degrees
Fractional coordinates of all 4 atoms:
Tb (0.000, 0.000, 0.000)
Y (0.113, 0.113, 0.113)
Y (0.887, 0.887, 0.887)
Ir (0.500, 0.500, 0.500)

Computed properties:
Energy of formation from the pure elements, eV/atom: -0.09
Polymorph energy (0 for the lowest one), eV/atom: 0.471
Total energy, eV/atom: -6.70
Space group: No. 166

---

# 3
Here is a relaxed BeFeP2 crystal from Alexandria via LeMat-Bulk. Energies are from GGA-PBE.

Cell lengths 4.001, 4.001, 4.699 Å; angles 103.97, 103.97, 49.73 degrees
Fractional coordinates of all 4 atoms:
Be (0.000, 0.000, 0.000)
Fe (0.701, 0.701, 0.953)
P (0.286, 0.286, 0.252)
P (0.365, 0.365, 0.738)

Computed properties:
Energy of formation from the pure elements, eV/atom: -0.11
Polymorph energy (0 for the lowest one), eV/atom: 0.070
Total energy, eV/atom: -5.87
Space group: No. 8

---

# 4
Here is a relaxed Pt2SeCl crystal from Alexandria via LeMat-Bulk. Energies are from GGA-PBE.

Cell lengths 4.618, 4.618, 4.618 Å; angles 60.00, 60.00, 60.00 degrees
Fractional coordinates of all 4 atoms:
Pt (0.000, 0.000, 0.000)
Pt (0.250, 0.250, 0.250)
Se (0.750, 0.750, 0.750)
Cl (0.500, 0.500, 0.500)

Computed properties:
Polymorph energy (0 for the lowest one), eV/atom: 0.874
Total energy, eV/atom: -3.73
Formation energy from raw total energies, kJ/mol of formula units: 241
Space group: No. 216

---

# 5
Here is a relaxed LiDySn crystal from Alexandria via LeMat-Bulk. Energies are from GGA-PBE.

Cell lengths 5.308, 5.308, 5.308 Å; angles 134.27, 134.27, 66.66 degrees
Fractional coordinates of all 3 atoms:
Li (0.000, 0.000, 0.000)
Dy (0.330, 0.330, 0.000)
Sn (0.679, 0.679, 0.000)

Computed properties:
Energy of formation from the pure elements, eV/atom: -0.28
Total energy, eV/atom: -3.79
Space group: No. 107

---

# 6
Here is a relaxed HfScZn2 crystal from Alexandria via LeMat-Bulk. Energies are from GGA-PBE.

Cell lengths 3.296, 3.296, 6.760 Å; angles 90.00, 90.00, 90.00 degrees
Fractional coordinates of all 4 atoms:
Hf (0.000, 0.000, 0.000)
Sc (0.000, 0.000, 0.500)
Zn (0.500, 0.500, 0.250)
Zn (0.500, 0.500, 0.750)

Computed properties:
Energy of formation from the pure elements, eV/atom: -0.27
Total energy, eV/atom: -4.98
Space group: No. 123

---

# 7
Here is a relaxed LiThPt crystal from Alexandria via LeMat-Bulk. Energies are from GGA-PBE.

Cell lengths 7.363, 7.363, 4.075 Å; angles 90.00, 90.00, 120.00 degrees
Fractional coordinates of all 9 atoms:
Li (0.000, 0.767, 0.000)
Li (0.233, 0.233, 0.000)
Li (0.767, 0.000, 0.000)
Th (0.000, 0.406, 0.500)
Th (0.406, 0.000, 0.500)
Th (0.594, 0.594, 0.500)
Pt (0.000, 0.000, 0.500)
Pt (0.333, 0.667, 0.000)
Pt (0.667, 0.333, 0.000)

Computed properties:
Energy of formation from the pure elements, eV/atom: -0.81
Polymorph energy (0 for the lowest one), eV/atom: 0.011
Total energy, eV/atom: -5.94
Space group: No. 189

---

# 8
Here is a relaxed Mn2NbSnH crystal from Alexandria via LeMat-Bulk. Energies are from GGA-PBE.

Cell lengths 3.999, 3.999, 4.090 Å; angles 90.00, 90.00, 90.00 degrees
Fractional coordinates of all 5 atoms:
Mn (0.000, 0.500, 0.000)
Mn (0.500, 0.000, 0.000)
Nb (0.000, 0.000, 0.500)
Sn (0.500, 0.500, 0.500)
H (0.000, 0.000, 0.000)

Computed properties:
Total energy, eV/atom: -7.17
Space group: No. 123

---

# 9
Here is a relaxed NdSmAu2 crystal from Alexandria via LeMat-Bulk. Energies are from GGA-PBE.

Cell lengths 7.991, 7.991, 7.991 Å; angles 30.07, 30.07, 30.07 degrees
Fractional coordinates of all 4 atoms:
Nd (0.000, 0.000, 0.000)
Sm (0.830, 0.830, 0.830)
Au (0.247, 0.247, 0.247)
Au (0.416, 0.416, 0.416)

Computed properties:
Energy of formation from the pure elements, eV/atom: -0.67
Total energy, eV/atom: -4.68
Space group: No. 160

---

# 10
Here is a relaxed LiCaTa crystal from Alexandria via LeMat-Bulk. Energies are from GGA-PBE.

Cell lengths 3.888, 3.888, 8.789 Å; angles 90.00, 90.00, 90.00 degrees
Fractional coordinates of all 6 atoms:
Li (0.250, 0.250, 0.225)
Li (0.750, 0.750, 0.775)
Ca (0.250, 0.750, 0.500)
Ca (0.750, 0.250, 0.500)
Ta (0.250, 0.250, 0.935)
Ta (0.750, 0.750, 0.065)

Computed properties:
Energy of formation from the pure elements, eV/atom: 1.04
Polymorph energy (0 for the lowest one), eV/atom: 0.792
Total energy, eV/atom: -4.22
Space group: No. 129

---

# 11
Here is a relaxed PrNd6Sm2Ho crystal from Alexandria via LeMat-Bulk. Energies are from GGA-PBE.

Cell lengths 9.000, 9.000, 9.840 Å; angles 94.07, 94.07, 117.76 degrees
Fractional coordinates of all 20 atoms:
Pr (0.022, 0.978, 0.750)
Pr (0.978, 0.022, 0.250)
Nd (0.013, 0.568, 0.687)
Nd (0.119, 0.752, 0.055)
Nd (0.248, 0.881, 0.445)
Nd (0.294, 0.507, 0.881)
Nd (0.432, 0.987, 0.813)
Nd (0.493, 0.706, 0.619)
Nd (0.507, 0.294, 0.381)
Nd (0.568, 0.013, 0.187)
Nd (0.706, 0.493, 0.119)
Nd (0.752, 0.119, 0.555)
Nd (0.881, 0.248, 0.945)
Nd (0.987, 0.432, 0.313)
Sm (0.199, 0.299, 0.545)
Sm (0.299, 0.199, 0.045)
Sm (0.701, 0.801, 0.955)
Sm (0.801, 0.701, 0.455)
Ho (0.409, 0.591, 0.250)
Ho (0.591, 0.409, 0.750)

Computed properties:
Energy of formation from the pure elements, eV/atom: 0.11
Total energy, eV/atom: -4.63
Space group: No. 15

---

# 12
Here is a relaxed EuSnSb2 crystal from Alexandria via LeMat-Bulk. Energies are from GGA-PBE.

Cell lengths 8.281, 8.281, 8.281 Å; angles 30.26, 30.26, 30.26 degrees
Fractional coordinates of all 4 atoms:
Eu (0.000, 0.000, 0.000)
Sn (0.500, 0.500, 0.500)
Sb (0.243, 0.243, 0.243)
Sb (0.757, 0.757, 0.757)

Computed properties:
Polymorph energy (0 for the lowest one), eV/atom: 0.144
Total energy, eV/atom: -5.97
Formation energy from raw total energies, kJ/mol of formula units: -132
Space group: No. 166

---

# 13
Here is a relaxed Dy12Pt6Pb crystal from Alexandria via LeMat-Bulk. Energies are from GGA-PBE.

Cell lengths 8.665, 8.665, 8.665 Å; angles 109.47, 109.47, 109.47 degrees
Fractional coordinates of all 19 atoms:
Dy (0.120, 0.301, 0.819)
Dy (0.181, 0.482, 0.301)
Dy (0.181, 0.880, 0.699)
Dy (0.301, 0.181, 0.482)
Dy (0.301, 0.819, 0.120)
Dy (0.482, 0.301, 0.181)
Dy (0.518, 0.699, 0.819)
Dy (0.699, 0.181, 0.880)
Dy (0.699, 0.819, 0.518)
Dy (0.819, 0.120, 0.301)
Dy (0.819, 0.518, 0.699)
Dy (0.880, 0.699, 0.181)
Pt (0.138, 0.500, 0.638)
Pt (0.362, 0.862, 0.500)
Pt (0.500, 0.362, 0.862)
Pt (0.500, 0.638, 0.138)
Pt (0.638, 0.138, 0.500)
Pt (0.862, 0.500, 0.362)
Pb (0.000, 0.000, 0.000)

Computed properties:
Energy of formation from the pure elements, eV/atom: -0.87
Total energy, eV/atom: -5.88
Space group: No. 204

---

# 14
Here is a relaxed Nd3Ho6Er2 crystal from Alexandria via LeMat-Bulk. Energies are from GGA-PBE.

Cell lengths 16.920, 16.920, 16.920 Å; angles 163.88, 163.88, 22.88 degrees
Fractional coordinates of all 11 atoms:
Nd (0.000, 0.000, 0.000)
Nd (0.203, 0.203, 0.000)
Nd (0.797, 0.797, 0.000)
Ho (0.120, 0.620, 0.500)
Ho (0.307, 0.307, 0.000)
Ho (0.380, 0.880, 0.500)
Ho (0.620, 0.120, 0.500)
Ho (0.693, 0.693, 0.000)
Ho (0.880, 0.380, 0.500)
Er (0.454, 0.454, 0.000)
Er (0.546, 0.546, 0.000)

Computed properties:
Energy of formation from the pure elements, eV/atom: 0.28
Total energy, eV/atom: -4.35
Space group: No. 139

---

# 15
Here is a relaxed LaTcBi2Sb crystal from Alexandria via LeMat-Bulk. Energies are from GGA-PBE.

Cell lengths 5.818, 5.818, 4.890 Å; angles 90.00, 90.00, 90.00 degrees
Fractional coordinates of all 5 atoms:
La (0.000, 0.000, 0.000)
Tc (0.500, 0.500, 0.000)
Bi (0.000, 0.500, 0.500)
Bi (0.500, 0.000, 0.500)
Sb (0.500, 0.500, 0.500)

Computed properties:
Total energy, eV/atom: -4.87
Formation energy from raw total energies, kJ/mol of formula units: 274
Space group: No. 123

---

# 16
Here is a relaxed Rb2ReI6N crystal from Alexandria via LeMat-Bulk. Energies are from GGA-PBE.

Cell lengths 8.117, 8.117, 8.117 Å; angles 114.70, 114.70, 99.45 degrees
Fractional coordinates of all 10 atoms:
Rb (0.250, 0.750, 0.500)
Rb (0.750, 0.250, 0.500)
Re (0.000, 0.000, 0.000)
I (0.221, 0.221, 0.443)
I (0.221, 0.779, 0.000)
I (0.271, 0.271, 0.000)
I (0.729, 0.729, 0.000)
I (0.779, 0.221, 0.000)
I (0.779, 0.779, 0.557)
N (0.500, 0.500, 0.000)

Computed properties:
Total energy, eV/atom: -3.26
Formation energy from raw total energies, kJ/mol of formula units: -58
Space group: No. 139

---

# 17
Here is a relaxed ThCdPdRu crystal from Alexandria via LeMat-Bulk. Energies are from GGA-PBE.

Cell lengths 4.853, 4.853, 4.853 Å; angles 60.00, 60.00, 60.00 degrees
Fractional coordinates of all 4 atoms:
Th (0.000, 0.000, 0.000)
Cd (0.500, 0.500, 0.500)
Pd (0.250, 0.250, 0.250)
Ru (0.750, 0.750, 0.750)

Computed properties:
Energy of formation from the pure elements, eV/atom: -0.36
Polymorph energy (0 for the lowest one), eV/atom: 0.107
Total energy, eV/atom: -6.07
Space group: No. 216

---

# 18
Here is a relaxed Ca2DyTe3 crystal from Alexandria via LeMat-Bulk. Energies are from GGA-PBE.

Cell lengths 7.720, 7.720, 7.720 Å; angles 146.63, 131.90, 59.81 degrees
Fractional coordinates of all 6 atoms:
Ca (0.168, 0.168, 0.000)
Ca (0.832, 0.832, 0.000)
Dy (0.500, 0.500, 0.000)
Te (0.000, 0.500, 0.500)
Te (0.337, 0.837, 0.500)
Te (0.663, 0.163, 0.500)

Computed properties:
Polymorph energy (0 for the lowest one), eV/atom: 0.004
Total energy, eV/atom: -4.51
Formation energy from raw total energies, kJ/mol of formula units: -873
Space group: No. 71

---

# 19
Here is a relaxed LiLaTbZn crystal from Alexandria via LeMat-Bulk. Energies are from GGA-PBE.

Cell lengths 3.732, 3.732, 7.499 Å; angles 90.00, 90.00, 90.00 degrees
Fractional coordinates of all 4 atoms:
Li (0.000, 0.000, 0.000)
La (0.500, 0.500, 0.714)
Tb (0.500, 0.500, 0.252)
Zn (0.000, 0.000, 0.463)

Computed properties:
Energy of formation from the pure elements, eV/atom: -0.12
Polymorph energy (0 for the lowest one), eV/atom: 0.000
Total energy, eV/atom: -3.30
Space group: No. 99

---

# 20
Here is a relaxed Dy2CoC crystal from Alexandria via LeMat-Bulk. Energies are from GGA-PBE.

Cell lengths 6.890, 6.890, 7.104 Å; angles 104.91, 104.91, 30.54 degrees
Fractional coordinates of all 8 atoms:
Dy (0.129, 0.131, 0.065)
Dy (0.131, 0.129, 0.565)
Dy (0.869, 0.871, 0.435)
Dy (0.871, 0.869, 0.935)
Co (0.500, 0.500, 0.250)
Co (0.500, 0.500, 0.750)
C (0.001, 0.999, 0.250)
C (0.999, 0.001, 0.750)

Computed properties:
Energy of formation from the pure elements, eV/atom: -0.27
Polymorph energy (0 for the lowest one), eV/atom: 0.000
Total energy, eV/atom: -6.65
Space group: No. 15